80
Lattice="-3.6056 -6.7084 -7.5482 10.4722 1.7596 -1.4886 -1.5541 -4.3433 9.6798" Properties=species:S:1:pos:R:3 comment="PBE with a Hubbard U Na3Cr2As3O12, relaxed" dft_energy_ev_per_atom=-6.267 spacegroup="Ia-3d (230)" total_magnetization_mub_per_cell=23.997 pbc="T T T"
O 4.8490 -8.1072 2.2239
As 6.0436 -3.3192 6.4099
As -0.9522 -5.2575 6.3967
O 0.9909 -4.1841 1.3851
O 0.4635 -1.1848 -1.5809
O 8.3488 -0.7332 1.8674
As 0.2516 -7.0860 -0.1695
O 1.8647 -6.4678 -0.0938
Cr -0.7770 -2.1716 4.8399
O 1.8076 -6.2560 -3.0460
Na 3.7279 -7.2647 -1.6712
O 1.8035 -3.9099 -1.3663
As 6.2647 -4.0346 -5.7537
Na -1.9779 -6.4401 -2.2173
O 5.1140 -1.1359 -0.5446
As 5.0179 -4.5018 -2.2041
O 4.8116 -5.8288 -3.2934
O 0.1985 -8.1561 1.1877
Na 1.5846 -2.0274 2.3143
O 0.5009 -3.4633 3.9364
O 3.4478 -2.8243 0.7368
Na 6.3078 -1.7389 -2.7370
Na -0.4316 -3.3815 -0.5967
Na 2.4811 -7.7319 1.8783
As 0.2946 -4.7903 2.8472
O 4.5663 -3.8532 -5.4843
O 4.2685 -3.0457 -2.7594
As 1.2851 -4.6187 -2.8559
O 3.4331 -9.0770 -0.0913
Cr -2.5798 -5.5258 1.0658
O 7.2209 -2.9429 -4.8135
O 8.9162 -1.9543 4.4155
O -0.9532 -5.8473 -0.1040
Cr -1.8028 -3.3542 -3.7741
Na 2.8314 -1.5602 -1.2353
Cr 3.4333 -2.4744 -4.5184
As 4.0275 -4.6733 3.4989
Na -0.9953 -7.5532 3.3801
O 6.6698 -4.0246 -2.0217
O -2.6808 -7.5172 1.4428
O -3.6036 -7.3377 -3.7725
Cr 4.4590 -1.2918 4.0956
O 3.4924 -5.8789 -7.4870
O -0.6164 -1.6198 1.0555
O -0.6386 -6.9554 -4.3470
O 1.8794 -0.2151 0.7344
Na 3.0017 -5.8559 -5.1151
O 5.9511 -2.3366 4.9901
O 0.7462 -5.4388 6.1274
Na 2.3108 -3.4361 5.7581
As 5.0609 -2.2061 0.8125
Cr 0.0000 0.0000 0.0000
O 7.9933 -1.7749 -0.7998
O 0.8184 -5.6138 -6.4453
O 3.5049 -3.0360 3.6890
As -3.0114 -8.9073 0.4691
O 5.7471 -4.8302 3.4077
O 6.2657 -3.4447 0.7471
O 5.4162 -1.4194 2.3108
O 1.9637 -3.8471 -4.2466
O -3.0363 -8.5588 -1.2244
O -2.9321 -8.7419 4.2186
As -0.7311 -5.9728 -5.7669
O 4.3216 -5.1080 -0.7420
O 3.5090 -5.3821 2.0094
O -0.4345 -4.4618 -2.7647
O 3.3488 -5.4450 4.8896
Cr 2.6563 -4.6460 0.3215
Na 5.7441 -5.9105 1.2397
O 1.8201 -3.4131 8.1301
Na 7.2905 -2.8520 2.8603
O 8.2446 -0.5502 -3.5755
O 4.4942 -3.6782 7.0884
O -0.1036 -7.8727 -1.6678
O -1.3573 -5.2675 2.6647
As 8.3239 -0.3847 0.1739
O -1.9084 -6.3491 5.4565
O 1.0441 -6.2463 3.4025
O 5.9289 -7.6722 -0.4124
Cr 5.2361 0.8798 -0.7443